Material: Ta2VH8
Method: DFT, PBE
State: relaxed

Unit cell a=3.1639 b=4.5693 c=5.5088 alpha=112.45 beta=106.69 gamma=90.00
Site moments in Bohr magnetons follow the coordinates.
Element x y z (fractional)
1 H 0.4252 0.2903 0.8504  0.00
2 H 0.2074 0.1236 0.4147  0.00
3 H 0.0120 0.2391 0.0240  0.00
4 H 0.9880 0.7609 0.9760  0.00
5 H 0.5748 0.7097 0.1496  0.00
6 H 0.3391 0.6092 0.6783  0.00
7 H 0.6609 0.3908 0.3217  0.00
8 H 0.7927 0.8765 0.5853  0.00
9 V 0.5000 0.0000 0.0000  0.38
10 Ta 0.8304 0.3098 0.6609  -0.01
11 Ta 0.1696 0.6902 0.3391  -0.01

## Properties
* density of states at the Fermi level: 3.505 states/eV per cell
* total energy: -59.81 eV/cell

=====

Material: Ta2VH3
Method: DFT, PBE
State: relaxed

Unit cell a=5.1401 b=5.0524 c=5.0524 alpha=62.17 beta=89.94 gamma=89.94
Element x y z (fractional)
1 V 0.2500 0.1415 0.8585
2 V 0.7500 0.8585 0.1415
3 H 0.7500 0.5305 0.4695
4 H 0.5001 0.8423 0.8418
5 H 0.9999 0.1582 0.1577
6 H 0.0001 0.8418 0.8423
7 H 0.4999 0.1577 0.1582
8 H 0.2500 0.4695 0.5305
9 Ta 0.2501 0.4981 0.1553
10 Ta 0.7499 0.5019 0.8447
11 Ta 0.7501 0.1553 0.4981
12 Ta 0.2499 0.8447 0.5019

## Properties
* density of states at the Fermi level: 5.303 states/eV per cell
* distance to the lowest polymorph of the same formula: 0.00 eV per formula unit

=====

Material: Ta2V3H4
Method: DFT, PBE
State: relaxed

Unit cell a=2.6933 b=4.7626 c=7.4094 alpha=105.13 beta=90.00 gamma=106.42
Element x y z (fractional)
1 V 0.0000 0.0000 0.0000
2 V 0.4008 0.8017 0.5985
3 V 0.5992 0.1983 0.4015
4 Ta 0.2961 0.5922 0.1975
5 Ta 0.7039 0.4078 0.8025
6 H 0.6218 0.2437 0.1520
7 H 0.9225 0.8451 0.3869
8 H 0.3782 0.7563 0.8480
9 H 0.0775 0.1549 0.6131

## Properties
* density of states at the Fermi level: 4.452 states/eV per cell
* total energy: -63.99 eV/cell

=====

Material: TaV3H6
Method: DFT, PBE
State: relaxed

Unit cell a=4.3815 b=5.1807 c=5.1807 alpha=45.67 beta=63.74 gamma=63.74
Element x y z (fractional)
1 Ta 0.5000 0.5000 0.5000
2 H 0.3666 0.6252 0.1160
3 H 0.8262 0.2520 0.2520
4 H 0.6334 0.3748 0.8840
5 H 0.3666 0.1160 0.6252
6 H 0.1738 0.7480 0.7480
7 H 0.6334 0.8840 0.3748
8 V 0.0000 0.0000 0.0000
9 V 0.7725 0.7502 0.7502
10 V 0.2275 0.2498 0.2498

## Properties
* density of states at the Fermi level: 6.711 states/eV per cell
* distance to the lowest polymorph of the same formula: 0.05 eV per formula unit

=====

Material: Ta3VH4
Method: DFT, PBE
State: relaxed

Unit cell a=4.8255 b=4.7745 c=6.7786 alpha=90.00 beta=90.00 gamma=90.00
Element x y z (fractional)
1 Ta 0.0010 0.7523 0.7505
2 Ta 0.0009 0.2534 0.5000
3 Ta 0.5009 0.7466 0.0000
4 Ta 0.0010 0.7523 0.2495
5 Ta 0.5010 0.2477 0.7495
6 Ta 0.5010 0.2477 0.2505
7 V 0.5002 0.7456 0.5000
8 V 0.0002 0.2544 0.0000
9 H 0.1180 0.3668 0.2389
10 H 0.6287 0.1001 0.5000
11 H 0.6180 0.6332 0.2611
12 H 0.6473 0.1247 0.0000
13 H 0.1180 0.3668 0.7611
14 H 0.1473 0.8753 0.5000
15 H 0.6180 0.6332 0.7389
16 H 0.1287 0.8999 0.0000

## Properties
* density of states at the Fermi level: 6.438 states/eV per cell
* total energy: -118.49 eV/cell

=====

Material: TaV4H
Method: DFT, PBE
State: relaxed

Unit cell a=4.8802 b=5.0325 c=6.9898 alpha=68.90 beta=72.19 gamma=90.00
Element x y z (fractional)
1 V 0.2223 0.6897 0.4045
2 V 0.7654 0.7218 0.7941
3 V 0.2346 0.2782 0.2059
4 V 0.2777 0.0942 0.5955
5 V 0.7223 0.9058 0.4045
6 V 0.7777 0.3103 0.5955
7 V 0.2654 0.4841 0.7941
8 V 0.7346 0.5159 0.2059
9 H 0.5000 0.5000 0.5000
10 H 0.0000 0.0000 0.5000
11 Ta 0.7500 0.1342 0.0000
12 Ta 0.2500 0.8658 0.0000

## Properties
* density of states at the Fermi level: 14.926 states/eV per cell
* total energy: -102.46 eV/cell

=====

Material: Ta2V3H5
Method: DFT, PBE
State: relaxed

Unit cell a=5.1286 b=6.8990 c=6.8990 alpha=56.12 beta=68.18 gamma=68.18
Element x y z (fractional)
1 H 0.7500 0.5000 0.5000
2 H 0.5718 0.6782 0.6782
3 H 0.0718 0.6782 0.6782
4 H 0.6215 0.8401 0.9169
5 H 0.4282 0.3218 0.3218
6 H 0.9282 0.3218 0.3218
7 H 0.2500 0.5000 0.5000
8 H 0.3785 0.1599 0.0831
9 H 0.8785 0.0831 0.1599
10 H 0.1215 0.9169 0.8401
11 V 0.5782 0.5746 0.2689
12 V 0.7500 0.0000 0.0000
13 V 0.0782 0.2689 0.5746
14 V 0.9218 0.7311 0.4254
15 V 0.2500 0.0000 0.0000
16 V 0.4218 0.4254 0.7311
17 Ta 0.3175 0.9065 0.4586
18 Ta 0.1825 0.5414 0.0935
19 Ta 0.6825 0.0935 0.5414
20 Ta 0.8175 0.4586 0.9065

## Properties
* density of states at the Fermi level: 6.665 states/eV per cell
* total energy: -134.65 eV/cell

=====

Material: TaV2H2
Method: DFT, PBE
State: relaxed

Unit cell a=3.4381 b=3.4381 c=5.0974 alpha=109.71 beta=109.71 gamma=90.00
Element x y z (fractional)
1 Ta 0.0000 0.0000 0.0000
2 V 0.2500 0.7500 0.5000
3 V 0.7500 0.2500 0.5000
4 H 0.6319 0.6319 0.2638
5 H 0.3681 0.3681 0.7362

## Properties
* density of states at the Fermi level: 3.782 states/eV per cell
* distance to the lowest polymorph of the same formula: 2.37 eV per formula unit

=====

Material: Ta3VH7
Method: DFT, PBE
State: relaxed

Unit cell a=5.3933 b=5.3933 c=6.3400 alpha=90.00 beta=90.00 gamma=109.38
Element x y z (fractional)
1 V 0.5000 0.5000 0.5000
2 V 0.5000 0.5000 0.0000
3 H 0.1425 0.3886 0.0101
4 H 0.6114 0.8575 0.5101
5 H 0.8575 0.6114 0.9899
6 H 0.6114 0.8575 0.9899
7 H 0.8779 0.1259 0.7500
8 H 0.1259 0.8779 0.7500
9 H 0.8741 0.1221 0.2500
10 H 0.8575 0.6114 0.5101
11 H 0.3886 0.1425 0.0101
12 H 0.1221 0.8741 0.2500
13 H 0.6220 0.6220 0.2500
14 H 0.3780 0.3780 0.7500
15 H 0.3886 0.1425 0.4899
16 H 0.1425 0.3886 0.4899
17 Ta 0.0000 0.0000 0.5000
18 Ta 0.5009 0.0139 0.7500
19 Ta 0.4991 0.9861 0.2500
20 Ta 0.9861 0.4991 0.2500
21 Ta 0.0139 0.5009 0.7500
22 Ta 0.0000 0.0000 0.0000

## Properties
* density of states at the Fermi level: 10.951 states/eV per cell
* total energy: -138.16 eV/cell

=====

Material: TaV4H4
Method: DFT, PBE
State: relaxed

Unit cell a=3.2043 b=5.2737 c=5.2814 alpha=84.68 beta=72.34 gamma=72.31
Element x y z (fractional)
1 V 0.4073 0.3943 0.7911
2 V 0.8018 0.7909 0.6054
3 V 0.5927 0.6057 0.2089
4 V 0.1982 0.2091 0.3946
5 H 0.3410 0.8561 0.4619
6 H 0.6590 0.1439 0.5381
7 H 0.8027 0.5380 0.8565
8 H 0.1973 0.4620 0.1435
9 Ta 0.0000 0.0000 0.0000

## Properties
* density of states at the Fermi level: 2.613 states/eV per cell
* total energy: -63.47 eV/cell

=====

Material: TaV2H2
Method: DFT, PBE
State: relaxed

Unit cell a=5.3519 b=4.5386 c=5.3600 alpha=64.96 beta=61.99 gamma=64.68
Element x y z (fractional)
1 V 0.7444 0.0030 0.7505
2 V 0.5779 0.3291 0.2562
3 V 0.4221 0.6709 0.7438
4 V 0.2556 0.9970 0.2495
5 H 0.4958 0.2589 0.9992
6 H 0.8751 0.2258 0.3704
7 H 0.1249 0.7742 0.6296
8 H 0.5042 0.7411 0.0008
9 Ta 0.9131 0.6749 0.2488
10 Ta 0.0869 0.3251 0.7512

## Properties
* density of states at the Fermi level: 5.135 states/eV per cell
* distance to the lowest polymorph of the same formula: 0.06 eV per formula unit

=====

Material: TaV2H2
Method: DFT, PBE
State: relaxed

Unit cell a=3.1990 b=3.1990 c=5.3634 alpha=72.65 beta=72.65 gamma=90.00
Element x y z (fractional)
1 V 0.6615 0.6615 0.6770
2 V 0.3385 0.3385 0.3230
3 Ta 0.0000 0.0000 0.0000
4 H 0.7500 0.2500 0.5000
5 H 0.2500 0.7500 0.5000

## Properties
* density of states at the Fermi level: 3.123 states/eV per cell
* distance to the lowest polymorph of the same formula: 0.00 eV per formula unit

=====

Material: TaV3H6
Method: DFT, PBE
State: relaxed

Unit cell a=4.7565 b=4.7565 c=4.6463 alpha=59.21 beta=59.21 gamma=60.00
Element x y z (fractional)
1 H 0.4991 0.2717 0.2414
2 H 0.0132 0.4656 0.7678
3 H 0.2717 0.9877 0.2414
4 H 0.9877 0.4991 0.2414
5 H 0.7534 0.0132 0.7678
6 H 0.4656 0.7534 0.7678
7 Ta 0.8739 0.8739 0.3782
8 V 0.6279 0.6279 0.1163
9 V 0.3755 0.3755 0.8734
10 V 0.1319 0.1319 0.6044

## Properties
* density of states at the Fermi level: 4.434 states/eV per cell
* distance to the lowest polymorph of the same formula: 0.00 eV per formula unit

=====

Material: Ta2V2H7
Method: DFT, PBE
State: relaxed

Unit cell a=4.2773 b=4.4333 c=4.4333 alpha=85.49 beta=90.00 gamma=90.00
Element x y z (fractional)
1 H 0.7174 0.0000 0.5000
2 H 0.7284 0.5000 0.5000
3 H 0.0000 0.0000 0.0000
4 H 0.2826 0.5000 0.0000
5 H 0.2716 0.5000 0.5000
6 H 0.7174 0.5000 0.0000
7 H 0.2826 0.0000 0.5000
8 V 0.5000 0.7653 0.2347
9 V 0.5000 0.2347 0.7653
10 Ta 0.0000 0.7363 0.7363
11 Ta 0.0000 0.2637 0.2637

## Properties
* density of states at the Fermi level: 5.345 states/eV per cell
* distance to the lowest polymorph of the same formula: 0.69 eV per formula unit

=====

Material: Ta3V5H2
Method: DFT, PBE
State: relaxed

Unit cell a=6.2472 b=7.7107 c=7.7107 alpha=50.68 beta=66.10 gamma=66.10
Element x y z (fractional)
1 H 0.0984 0.8893 0.9140
2 H 0.9016 0.1107 0.0860
3 H 0.4016 0.0860 0.1107
4 H 0.5984 0.9140 0.8893
5 V 0.6297 0.1479 0.5927
6 V 0.7500 0.5000 0.5000
7 V 0.0023 0.7477 0.7477
8 V 0.2500 0.5000 0.5000
9 V 0.5023 0.7477 0.7477
10 V 0.3703 0.8521 0.4073
11 V 0.9977 0.2523 0.2523
12 V 0.1297 0.5927 0.1479
13 V 0.4977 0.2523 0.2523
14 V 0.8703 0.4073 0.8521
15 Ta 0.8694 0.8587 0.4026
16 Ta 0.1306 0.1413 0.5974
17 Ta 0.6306 0.5974 0.1413
18 Ta 0.3694 0.4026 0.8587
19 Ta 0.2500 0.0000 0.0000
20 Ta 0.7500 0.0000 0.0000

## Properties
* density of states at the Fermi level: 23.540 states/eV per cell
* total energy: -176.12 eV/cell

=====

Material: Ta2VH3
Method: DFT, PBE
State: relaxed

Unit cell a=4.6989 b=4.6989 c=6.0468 alpha=90.00 beta=90.00 gamma=120.00
Element x y z (fractional)
1 H 0.2819 0.1410 0.7439
2 H 0.8590 0.7181 0.7439
3 H 0.7181 0.8590 0.2561
4 H 0.1410 0.2819 0.2561
5 H 0.8590 0.1410 0.7439
6 H 0.1410 0.8590 0.2561
7 Ta 0.0000 0.0000 0.0000
8 Ta 0.3333 0.6667 0.6804
9 Ta 0.6667 0.3333 0.3196
10 Ta 0.0000 0.0000 0.5000
11 V 0.6667 0.3333 0.8565
12 V 0.3333 0.6667 0.1435

## Properties
* density of states at the Fermi level: 4.815 states/eV per cell
* distance to the lowest polymorph of the same formula: 0.10 eV per formula unit

=====

Material: Ta3VH8
Method: DFT, PBE
State: relaxed

Unit cell a=4.4520 b=4.4520 c=5.4545 alpha=114.09 beta=114.09 gamma=90.00
Site moments in Bohr magnetons follow the coordinates.
Element x y z (fractional)
1 H 0.8786 0.3615 0.2401  0.00
2 H 0.3615 0.3615 0.2401  0.00
3 H 0.6385 0.1214 0.7599  0.00
4 H 0.3615 0.8786 0.2401  0.00
5 H 0.1214 0.6385 0.7599  0.00
6 H 0.6385 0.6385 0.7599  0.00
7 H 0.8786 0.8786 0.2401  0.00
8 H 0.1214 0.1214 0.7599  0.00
9 Ta 0.7500 0.2500 0.5000  -0.01
10 Ta 0.5000 0.5000 0.0000  0.00
11 Ta 0.2500 0.7500 0.5000  -0.01
12 V 0.0000 0.0000 0.0000  0.11

## Properties
* density of states at the Fermi level: 3.390 states/eV per cell
* total energy: -73.37 eV/cell

=====

Material: Ta3VH3
Method: DFT, PBE
State: relaxed

Unit cell a=4.3978 b=5.9693 c=5.9695 alpha=107.04 beta=90.00 gamma=90.00
Element x y z (fractional)
1 V 0.7500 0.3724 0.6277
2 V 0.2500 0.6276 0.3723
3 H 0.2500 0.8236 0.1764
4 H 0.7500 0.1833 0.3387
5 H 0.2500 0.3387 0.1832
6 H 0.7500 0.6613 0.8168
7 H 0.7500 0.1764 0.8236
8 H 0.2500 0.8167 0.6613
9 Ta 0.2500 0.6093 0.8601
10 Ta 0.7500 0.3907 0.1399
11 Ta 0.2500 0.1287 0.8713
12 Ta 0.2500 0.1399 0.3908
13 Ta 0.7500 0.8713 0.1287
14 Ta 0.7500 0.8601 0.6092

## Properties
* density of states at the Fermi level: 4.355 states/eV per cell
* total energy: -111.05 eV/cell

=====

Material: Ta4VH10
Method: DFT, PBE
State: relaxed

Unit cell a=4.4684 b=5.4752 c=5.4752 alpha=80.41 beta=65.92 gamma=65.92
Site moments in Bohr magnetons follow the coordinates.
Element x y z (fractional)
1 H 0.3373 0.7123 0.0978  0.00
2 H 0.8526 0.7123 0.0978  0.00
3 H 0.2500 0.5000 0.5000  0.00
4 H 0.6627 0.2877 0.9022  0.00
5 H 0.0496 0.0978 0.2877  0.00
6 H 0.7500 0.5000 0.5000  0.00
7 H 0.1474 0.2877 0.9022  0.00
8 H 0.9504 0.9022 0.7123  0.00
9 H 0.4351 0.9022 0.7123  0.00
10 H 0.5649 0.0978 0.2877  0.00
11 Ta 0.7983 0.5994 0.8041  0.00
12 Ta 0.6024 0.1959 0.5994  0.00
13 Ta 0.2017 0.4006 0.1959  0.00
14 Ta 0.3976 0.8041 0.4006  0.00
15 V 0.0000 0.0000 0.0000  0.15

## Properties
* density of states at the Fermi level: 4.413 states/eV per cell
* total energy: -92.27 eV/cell

=====

Material: Ta2V2H7
Method: DFT, PBE
State: relaxed

Unit cell a=4.2540 b=4.3927 c=4.3927 alpha=86.79 beta=90.01 gamma=90.01
Element x y z (fractional)
1 V 0.9999 0.2620 0.2620
2 V 0.0001 0.7380 0.7380
3 H 0.2416 0.4999 0.0000
4 H 0.0000 0.0000 0.0000
5 H 0.7666 0.5000 0.5000
6 H 0.2334 0.5000 0.5000
7 H 0.2416 0.0000 0.4999
8 H 0.7584 0.5001 0.0000
9 H 0.7584 0.0000 0.5001
10 Ta 0.5000 0.7631 0.2369
11 Ta 0.5000 0.2369 0.7631

## Properties
* density of states at the Fermi level: 4.810 states/eV per cell
* distance to the lowest polymorph of the same formula: 0.00 eV per formula unit